Record 1
# CsKHg2Te | Alexandria | PBE | optimized geometry
# - Energy relative to the elements, uncorrected: -2.85 eV per formula unit
data_CsKHg2Te
_cell_length_a 5.3866
_cell_length_b 5.1438
_cell_length_c 8.5069
_cell_angle_alpha 107.60
_cell_angle_beta 108.46
_cell_angle_gamma 90.00
_space_group_name_H-M_alt 'P 1'
_space_group_IT_number 1
_space_group_name_Hall 'P 1'
loop_
_atom_site_label
_atom_site_type_symbol
_atom_site_fract_x
_atom_site_fract_y
_atom_site_fract_z
_atom_site_occupancy
Hg1 Hg 0.6819 0.1819 0.3638 1
Hg2 Hg 0.0462 0.0462 0.0925 1
K1 K 0.2054 0.7054 0.4108 1
Cs1 Cs 0.4344 0.4344 0.8688 1
Te1 Te 0.8442 0.8442 0.6884 1


Record 2
# CsK2TlHg | Alexandria | PBE | optimized geometry
# - Distance to the lowest polymorph of the same formula: 0 meV/atom
data_CsK2TlHg
_cell_length_a 6.7972
_cell_length_b 6.7972
_cell_length_c 5.9252
_cell_angle_alpha 90.00
_cell_angle_beta 90.00
_cell_angle_gamma 90.00
_space_group_name_H-M_alt 'P 1'
_space_group_IT_number 1
_space_group_name_Hall 'P 1'
loop_
_atom_site_label
_atom_site_type_symbol
_atom_site_fract_x
_atom_site_fract_y
_atom_site_fract_z
_atom_site_occupancy
K1 K 0.0000 0.5000 0.0000 1
K2 K 0.5000 0.0000 0.0000 1
Hg1 Hg 0.0000 0.0000 0.0000 1
Tl1 Tl 0.0000 0.0000 0.5000 1
Cs1 Cs 0.5000 0.5000 0.5000 1


Record 3
# CsK2TlHg | Alexandria | PBE | optimized geometry
# - Distance to the lowest polymorph of the same formula: 121 meV/atom
data_CsK2TlHg
_cell_length_a 6.5992
_cell_length_b 6.5992
_cell_length_c 7.0822
_cell_angle_alpha 90.00
_cell_angle_beta 90.00
_cell_angle_gamma 90.00
_space_group_name_H-M_alt 'P 1'
_space_group_IT_number 1
_space_group_name_Hall 'P 1'
loop_
_atom_site_label
_atom_site_type_symbol
_atom_site_fract_x
_atom_site_fract_y
_atom_site_fract_z
_atom_site_occupancy
K1 K 0.0000 0.5000 0.0000 1
K2 K 0.5000 0.0000 0.0000 1
Tl1 Tl 0.5000 0.5000 0.5000 1
Cs1 Cs 0.0000 0.0000 0.5000 1
Hg1 Hg 0.0000 0.0000 0.0000 1


Record 4
# CsK2TlHg | Alexandria | PBE | optimized geometry
# - Distance to the lowest polymorph of the same formula: 24 meV/atom
data_CsK2TlHg
_cell_length_a 6.9264
_cell_length_b 6.9264
_cell_length_c 5.9467
_cell_angle_alpha 90.00
_cell_angle_beta 90.00
_cell_angle_gamma 90.00
_space_group_name_H-M_alt 'P 1'
_space_group_IT_number 1
_space_group_name_Hall 'P 1'
loop_
_atom_site_label
_atom_site_type_symbol
_atom_site_fract_x
_atom_site_fract_y
_atom_site_fract_z
_atom_site_occupancy
Cs1 Cs 0.5000 0.5000 0.5000 1
Tl1 Tl 0.0000 0.0000 0.0000 1
Hg1 Hg 0.0000 0.0000 0.5000 1
K1 K 0.0000 0.5000 0.0000 1
K2 K 0.5000 0.0000 0.0000 1


Record 5
# CsKTl2Hg | Alexandria | PBE | optimized geometry
# - Distance to the lowest polymorph of the same formula: 0 meV/atom
data_CsKTl2Hg
_cell_length_a 5.0512
_cell_length_b 5.9658
_cell_length_c 8.1805
_cell_angle_alpha 111.39
_cell_angle_beta 107.98
_cell_angle_gamma 90.00
_space_group_name_H-M_alt 'P 1'
_space_group_IT_number 1
_space_group_name_Hall 'P 1'
loop_
_atom_site_label
_atom_site_type_symbol
_atom_site_fract_x
_atom_site_fract_y
_atom_site_fract_z
_atom_site_occupancy
Tl1 Tl 0.6893 0.1893 0.3786 1
Tl2 Tl 0.0597 0.0597 0.1194 1
K1 K 0.1888 0.6888 0.3777 1
Cs1 Cs 0.4282 0.4282 0.8564 1
Hg1 Hg 0.8461 0.8461 0.6921 1


Record 6
# CsKTl2Hg | Alexandria | PBE | optimized geometry
# - Distance to the lowest polymorph of the same formula: 129 meV/atom
data_CsKTl2Hg
_cell_length_a 6.0108
_cell_length_b 6.0108
_cell_length_c 6.4992
_cell_angle_alpha 90.00
_cell_angle_beta 90.00
_cell_angle_gamma 90.00
_space_group_name_H-M_alt 'P 1'
_space_group_IT_number 1
_space_group_name_Hall 'P 1'
loop_
_atom_site_label
_atom_site_type_symbol
_atom_site_fract_x
_atom_site_fract_y
_atom_site_fract_z
_atom_site_occupancy
Tl1 Tl 0.5000 0.0000 0.0000 1
Tl2 Tl 0.0000 0.5000 0.0000 1
K1 K 0.0000 0.0000 0.5000 1
Cs1 Cs 0.5000 0.5000 0.5000 1
Hg1 Hg 0.0000 0.0000 0.0000 1


Record 7
# CsKZnHg | Alexandria | PBE | optimized geometry
# - Energy: -0.86 eV per atom
data_CsKZnHg
_cell_length_a 6.2796
_cell_length_b 6.2796
_cell_length_c 6.2796
_cell_angle_alpha 60.00
_cell_angle_beta 60.00
_cell_angle_gamma 60.00
_space_group_name_H-M_alt 'P 1'
_space_group_IT_number 1
_space_group_name_Hall 'P 1'
loop_
_atom_site_label
_atom_site_type_symbol
_atom_site_fract_x
_atom_site_fract_y
_atom_site_fract_z
_atom_site_occupancy
Hg1 Hg 0.5000 0.5000 0.5000 1
Zn1 Zn 0.0000 0.0000 0.0000 1
Cs1 Cs 0.2500 0.2500 0.2500 1
K1 K 0.7500 0.7500 0.7500 1


Record 8
# Cs2KZnHg | Alexandria | PBE | optimized geometry
# - Energy: -0.83 eV per atom
data_Cs2KZnHg
_cell_length_a 7.3283
_cell_length_b 7.3283
_cell_length_c 5.6549
_cell_angle_alpha 90.00
_cell_angle_beta 90.00
_cell_angle_gamma 90.00
_space_group_name_H-M_alt 'P 1'
_space_group_IT_number 1
_space_group_name_Hall 'P 1'
loop_
_atom_site_label
_atom_site_type_symbol
_atom_site_fract_x
_atom_site_fract_y
_atom_site_fract_z
_atom_site_occupancy
Cs1 Cs 0.5000 0.0000 0.0000 1
Cs2 Cs 0.0000 0.5000 0.0000 1
Hg1 Hg 0.0000 0.0000 0.5000 1
Zn1 Zn 0.0000 0.0000 0.0000 1
K1 K 0.5000 0.5000 0.5000 1


Record 9
# Cs3LaHg | Alexandria | PBE | optimized geometry
# - Energy: -0.93 eV per atom
data_Cs3LaHg
_cell_length_a 7.6527
_cell_length_b 7.6527
_cell_length_c 7.6527
_cell_angle_alpha 90.00
_cell_angle_beta 90.00
_cell_angle_gamma 90.00
_space_group_name_H-M_alt 'P 1'
_space_group_IT_number 1
_space_group_name_Hall 'P 1'
loop_
_atom_site_label
_atom_site_type_symbol
_atom_site_fract_x
_atom_site_fract_y
_atom_site_fract_z
_atom_site_occupancy
Cs1 Cs 0.5000 0.0000 0.0000 1
Cs2 Cs 0.0000 0.0000 0.5000 1
Cs3 Cs 0.0000 0.5000 0.0000 1
La1 La 0.0000 0.0000 0.0000 1
Hg1 Hg 0.5000 0.5000 0.5000 1


Record 10
# CsLaHg2 | Alexandria | PBE | optimized geometry
# - Energy: -1.89 eV per atom
data_CsLaHg2
_cell_length_a 4.0315
_cell_length_b 4.0315
_cell_length_c 9.0496
_cell_angle_alpha 90.00
_cell_angle_beta 90.00
_cell_angle_gamma 90.00
_space_group_name_H-M_alt 'P 1'
_space_group_IT_number 1
_space_group_name_Hall 'P 1'
loop_
_atom_site_label
_atom_site_type_symbol
_atom_site_fract_x
_atom_site_fract_y
_atom_site_fract_z
_atom_site_occupancy
Cs1 Cs 0.5000 0.5000 0.5000 1
Hg1 Hg 0.0000 0.0000 0.8087 1
Hg2 Hg 0.0000 0.0000 0.1913 1
La1 La 0.5000 0.5000 0.0000 1


Record 11
# CsLa3Hg | Alexandria | PBE | optimized geometry
# - Distance to the lowest polymorph of the same formula: 640 meV/atom
data_CsLa3Hg
_cell_length_a 5.8874
_cell_length_b 5.8874
_cell_length_c 5.8874
_cell_angle_alpha 90.00
_cell_angle_beta 90.00
_cell_angle_gamma 90.00
_space_group_name_H-M_alt 'P 1'
_space_group_IT_number 1
_space_group_name_Hall 'P 1'
loop_
_atom_site_label
_atom_site_type_symbol
_atom_site_fract_x
_atom_site_fract_y
_atom_site_fract_z
_atom_site_occupancy
Cs1 Cs 0.0000 0.0000 0.0000 1
La1 La 0.0000 0.0000 0.5000 1
La2 La 0.0000 0.5000 0.0000 1
La3 La 0.5000 0.0000 0.0000 1
Hg1 Hg 0.5000 0.5000 0.5000 1


Record 12
# CsLa3Hg | Alexandria | PBE | optimized geometry
# - Distance to the lowest polymorph of the same formula: 0 meV/atom
data_CsLa3Hg
_cell_length_a 6.1831
_cell_length_b 6.1831
_cell_length_c 6.1831
_cell_angle_alpha 90.00
_cell_angle_beta 90.00
_cell_angle_gamma 90.00
_space_group_name_H-M_alt 'P 1'
_space_group_IT_number 1
_space_group_name_Hall 'P 1'
loop_
_atom_site_label
_atom_site_type_symbol
_atom_site_fract_x
_atom_site_fract_y
_atom_site_fract_z
_atom_site_occupancy
La1 La 0.0000 0.5000 0.0000 1
La2 La 0.5000 0.0000 0.0000 1
La3 La 0.0000 0.0000 0.5000 1
Cs1 Cs 0.5000 0.5000 0.5000 1
Hg1 Hg 0.0000 0.0000 0.0000 1


Record 13
# CsLaHg3 | Alexandria | PBE | optimized geometry
# - Energy: -1.36 eV per atom
data_CsLaHg3
_cell_length_a 6.1929
_cell_length_b 6.1929
_cell_length_c 6.1929
_cell_angle_alpha 90.00
_cell_angle_beta 90.00
_cell_angle_gamma 90.00
_space_group_name_H-M_alt 'P 1'
_space_group_IT_number 1
_space_group_name_Hall 'P 1'
loop_
_atom_site_label
_atom_site_type_symbol
_atom_site_fract_x
_atom_site_fract_y
_atom_site_fract_z
_atom_site_occupancy
Hg1 Hg 0.5000 0.0000 0.0000 1
Hg2 Hg 0.0000 0.0000 0.5000 1
Hg3 Hg 0.0000 0.5000 0.0000 1
La1 La 0.0000 0.0000 0.0000 1
Cs1 Cs 0.5000 0.5000 0.5000 1


Record 14
# CsLaNbHg2 | Alexandria | PBE | optimized geometry
# - Energy: -1.90 eV per atom
data_CsLaNbHg2
_cell_length_a 5.9114
_cell_length_b 5.6400
_cell_length_c 5.9114
_cell_angle_alpha 90.00
_cell_angle_beta 90.00
_cell_angle_gamma 90.00
_space_group_name_H-M_alt 'P 1'
_space_group_IT_number 1
_space_group_name_Hall 'P 1'
loop_
_atom_site_label
_atom_site_type_symbol
_atom_site_fract_x
_atom_site_fract_y
_atom_site_fract_z
_atom_site_occupancy
Hg1 Hg 0.0000 0.0000 0.5000 1
Hg2 Hg 0.5000 0.0000 0.0000 1
Nb1 Nb 0.0000 0.5000 0.0000 1
Cs1 Cs 0.0000 0.0000 0.0000 1
La1 La 0.5000 0.5000 0.5000 1


Number 1: size of the total moment 0.00 μB per formula unit. Number 2: size of the total moment 0.00 μB per formula unit. Number 3: size of the total moment 0.00 μB per formula unit. Number 4: size of the total moment 0.00 μB per formula unit. Number 5: size of the total moment 0.00 μB per formula unit. Number 6: size of the total moment 0.00 μB per formula unit. Number 7: size of the total moment 0.00 μB per formula unit. Number 8: size of the total moment 0.00 μB per formula unit. Number 9: size of the total moment 4.25 μB per formula unit. Number 10: size of the total moment 0.50 μB per formula unit. Number 11: size of the total moment 0.00 μB per formula unit. Number 12: size of the total moment 0.00 μB per formula unit. Number 13: size of the total moment 0.00 μB per formula unit. Number 14: size of the total moment 3.31 μB per formula unit.